Here is a geometry-optimized Dy2NbCd structure from Alexandria. Energies are from PBE.

* formation energy from the elements: 0.029 eV per atom
* calculated total energy: -5.0186 eV per atom
* V: 99.4 Å³ per cell
* total moment: 0.000 μB per formula unit
* space-group type: P4/mmm

Cell: 3.3398 3.3398 8.9084 Å, 90.00 90.00 90.00°
Atoms (fractional coordinates):
Nb  0.5000  0.5000  0.0000
Dy  0.0000  0.0000  0.7603
Dy  0.0000  0.0000  0.2397
Cd  0.5000  0.5000  0.5000